No. 1
VASP calculation (PBE) on Nb2SiOs after structural relaxation.

The structure in extended XYZ format:
```
8
Lattice="-1.9360 0.8989 6.6985 -5.5455 -4.1943 -1.0398 -2.1995 -3.8698 3.5730" Properties=species:S:1:pos:R:3 pbc="T T T"
Nb -2.4520 -0.9304 4.9462
Nb -4.2589 -3.4760 1.0843
Nb -4.4582 -4.1404 4.8012
Nb -8.1929 -5.7835 7.6316
Os 0.0000 0.0000 0.0000
Os -3.9381 -2.3092 6.5504
Si -3.7407 -1.6477 2.8293
Si -5.7429 -4.8559 2.6812
```

Properties
energy relative to the elements, uncorrected	111	kJ/mol of formula units
total DFT energy (no corrections)	-8.911	eV/atom
crystal system	tetragonal

=====

No. 2
VASP calculation (PBE) on PBr after structural relaxation.

The structure in extended XYZ format:
```
16
Lattice="7.4832 0.0000 0.0000 0.0000 8.7084 0.0000 0.0000 0.0000 10.5461" Properties=species:S:1:pos:R:3 pbc="T T T"
P 0.7262 7.5947 1.5748
P 4.4678 5.4679 8.9713
P 6.7570 3.2405 3.6982
P 3.0154 1.1137 6.8479
P 2.5430 5.5697 8.2733
P 6.2846 7.4929 2.2728
P 4.9402 1.2155 7.5458
P 1.1986 3.1387 3.0003
Br 4.9100 8.6506 0.9682
Br 1.1684 4.4120 9.5779
Br 2.5732 4.2964 4.3048
Br 6.3148 0.0578 6.2413
Br 0.8433 0.1196 10.2770
Br 4.5849 4.2346 0.2691
Br 6.6399 4.4738 5.5422
Br 2.8983 8.5888 5.0039
```

Properties
energy above the most stable polymorph in this dataset	0.162	eV per atom
energy relative to the elements, uncorrected	6	kJ/mol of formula units
total DFT energy (no corrections)	-3.509	eV/atom
crystal system	orthorhombic